# 1
FePtSe2 | GGA-PBE | optimized geometry

Results
**Formation energy without anion corrections**: 0.0771 eV per atom
**Offset from the most stable computed form**: 0.259 eV/atom
**Crystal system**: trigonal
**Total magnetic moment**: 2.81 μB per formula unit

Geometry as CIF:
```
data_FePtSe2
_chemical_formula_sum 'Fe3 Pt3 Se6'
_cell_length_a 3.6670
_cell_length_b 3.6670
_cell_length_c 18.5912
_cell_angle_alpha 90.00
_cell_angle_beta 90.00
_cell_angle_gamma 120.00
_symmetry_space_group_name_H-M 'R -3 m'
_symmetry_Int_Tables_number 166
_symmetry_space_group_name_Hall '-R 3 2"'
loop_
_atom_site_label
_atom_site_type_symbol
_atom_site_fract_x
_atom_site_fract_y
_atom_site_fract_z
Fe1 Fe 0.0000 0.0000 0.0000
Pt1 Pt 0.0000 0.0000 0.5000
Se1 Se 0.0000 0.0000 0.2502
```

***

# 2
RbTc2Os | GGA-PBE | optimized geometry

Results
**Offset from the most stable computed form**: 0.038 eV/atom
**Crystal system**: cubic
**DFT formation energy**: 1683.3 meV per atom
**Total magnetic moment**: 0.00 μB per formula unit

Geometry as CIF:
```
data_RbTc2Os
_chemical_formula_sum 'Rb4 Tc8 Os4'
_cell_length_a 6.474
_cell_length_b 6.474
_cell_length_c 6.474
_cell_angle_alpha 90.00
_cell_angle_beta 90.00
_cell_angle_gamma 90.00
_symmetry_space_group_name_H-M 'F m -3 m'
_symmetry_Int_Tables_number 225
_symmetry_space_group_name_Hall '-F 4 2 3'
loop_
_atom_site_label
_atom_site_type_symbol
_atom_site_fract_x
_atom_site_fract_y
_atom_site_fract_z
Rb1 Rb 0.000 0.000 0.000
Tc1 Tc 0.250 0.250 0.250
Os1 Os 0.000 0.000 0.500
```

***

# 3
Sc2CrHg | GGA-PBE | optimized geometry

Results
**Crystal system**: tetragonal
**DFT formation energy**: -89.2 meV per atom
**Total magnetic moment**: 2.45 μB per formula unit

Geometry as CIF:
```
data_Sc2CrHg
_chemical_formula_sum 'Sc2 Cr1 Hg1'
_cell_length_a 3.319
_cell_length_b 3.319
_cell_length_c 7.204
_cell_angle_alpha 90.00
_cell_angle_beta 90.00
_cell_angle_gamma 90.00
_symmetry_space_group_name_H-M 'P 4/m m m'
_symmetry_Int_Tables_number 123
_symmetry_space_group_name_Hall '-P 4 2'
loop_
_atom_site_label
_atom_site_type_symbol
_atom_site_fract_x
_atom_site_fract_y
_atom_site_fract_z
Sc1 Sc 0.000 0.000 0.226
Cr1 Cr 0.500 0.500 0.000
Hg1 Hg 0.500 0.500 0.500
```